(1)
Compound: La2InCl
Source: the Alexandria database
Functional: PBE
Structure: optimized geometry

Summary:
M_tot = 0.00 μB per cell
calculated volume = 27.718 Å³/atom
space group = P4/mmm (123)
crystal system = tetragonal
uncorrected formation energy = -973 meV per atom
energy relative to the lowest polymorph listed for this composition = 27 meV/atom

a b c (Å): 3.602 3.602 8.546
angles (deg): 90.00 90.00 90.00
Sites, in units of the cell vectors:
1 La 0.000 0.000 0.247
2 La 0.000 0.000 0.753
3 In 0.500 0.500 0.500
4 Cl 0.500 0.500 0.000



(2)
Compound: HfOsRh3
Source: the Alexandria database
Functional: PBE
Structure: optimized geometry

Summary:
M_tot = 3.53 μB per cell
calculated volume = 20.426 Å³/atom
space group = Pm-3m (221)
crystal system = cubic
formation enthalpy at 0 K = 1.504 eV per atom
energy relative to the lowest polymorph listed for this composition = 487 meV/atom

a b c (Å): 4.674 4.674 4.674
angles (deg): 90.00 90.00 90.00
Sites, in units of the cell vectors:
1 Hf 0.000 0.000 0.000
2 Os 0.500 0.500 0.500
3 Rh 0.000 0.000 0.500
4 Rh 0.000 0.500 0.000
5 Rh 0.500 0.000 0.000



(3)
Compound: CuHgCl2
Source: the Alexandria database
Functional: PBE
Structure: optimized geometry

Summary:
M_tot = 2.71 μB per cell
calculated volume = 24.701 Å³/atom
space group = R-3m (166)
crystal system = trigonal
uncorrected formation energy = -330 meV per atom
energy relative to the lowest polymorph listed for this composition = 40 meV/atom

a b c (Å): 3.512 3.512 27.745
angles (deg): 90.00 90.00 120.00
Sites, in units of the cell vectors:
1 Cu 0.000 0.000 0.000
2 Cu 0.333 0.667 0.667
3 Cu 0.667 0.333 0.333
4 Hg 0.000 0.000 0.500
5 Hg 0.333 0.667 0.167
6 Hg 0.667 0.333 0.833
7 Cl 0.000 0.000 0.284
8 Cl 0.000 0.000 0.716
9 Cl 0.333 0.667 0.382
10 Cl 0.333 0.667 0.951
11 Cl 0.667 0.333 0.049
12 Cl 0.667 0.333 0.618



(4)
Compound: Pa2TlSi
Source: the Alexandria database
Functional: PBE
Structure: optimized geometry

Summary:
M_tot = 0.00 μB per cell
calculated volume = 26.166 Å³/atom
space group = R-3m (166)
crystal system = trigonal
uncorrected formation energy = 18 meV per atom
energy relative to the lowest polymorph listed for this composition = 112 meV/atom

a b c (Å): 3.704 3.704 26.422
angles (deg): 90.00 90.00 120.00
Sites, in units of the cell vectors:
1 Pa 0.000 0.000 0.235
2 Pa 0.000 0.000 0.765
3 Pa 0.333 0.667 0.432
4 Pa 0.333 0.667 0.901
5 Pa 0.667 0.333 0.099
6 Pa 0.667 0.333 0.568
7 Tl 0.000 0.000 0.000
8 Tl 0.333 0.667 0.667
9 Tl 0.667 0.333 0.333
10 Si 0.000 0.000 0.500
11 Si 0.333 0.667 0.167
12 Si 0.667 0.333 0.833



Repeat the second record exactly.
Compound: HfOsRh3
Source: the Alexandria database
Functional: PBE
Structure: optimized geometry

Summary:
M_tot = 3.53 μB per cell
calculated volume = 20.426 Å³/atom
space group = Pm-3m (221)
crystal system = cubic
formation enthalpy at 0 K = 1.504 eV per atom
energy relative to the lowest polymorph listed for this composition = 487 meV/atom

a b c (Å): 4.674 4.674 4.674
angles (deg): 90.00 90.00 90.00
Sites, in units of the cell vectors:
1 Hf 0.000 0.000 0.000
2 Os 0.500 0.500 0.500
3 Rh 0.000 0.000 0.500
4 Rh 0.000 0.500 0.000
5 Rh 0.500 0.000 0.000



Please write out number 2 again, unchanged.
Compound: HfOsRh3
Source: the Alexandria database
Functional: PBE
Structure: optimized geometry

Summary:
M_tot = 3.53 μB per cell
calculated volume = 20.426 Å³/atom
space group = Pm-3m (221)
crystal system = cubic
formation enthalpy at 0 K = 1.504 eV per atom
energy relative to the lowest polymorph listed for this composition = 487 meV/atom

a b c (Å): 4.674 4.674 4.674
angles (deg): 90.00 90.00 90.00
Sites, in units of the cell vectors:
1 Hf 0.000 0.000 0.000
2 Os 0.500 0.500 0.500
3 Rh 0.000 0.000 0.500
4 Rh 0.000 0.500 0.000
5 Rh 0.500 0.000 0.000



Question: What is the formula in the fourth record?
Answer: Pa2TlSi